#A
First-principles (PBEsol) data for a relaxed ScCdHg2B crystal, as listed in the Alexandria database. Values from VASP.

Results
Its density of states at the Fermi level is 5.56 states/eV/cell. The calculated volume comes out at 28.05 Å³/atom. The magnetization is 0.2 μB per cell. The calculated density is 6.74 g/cm3.

```
&SYSTEM
  ibrav = 0, nat = 5, ntyp = 4
/
ATOMIC_SPECIES
Sc 44.96 Sc.upf
Cd 112.41 Cd.upf
Hg 200.59 Hg.upf
B 10.81 B.upf
CELL_PARAMETERS angstrom
5.108 0.000 0.000
0.000 5.108 0.000
0.000 0.000 5.376
ATOMIC_POSITIONS angstrom
Sc 0.000 0.000 0.000
Cd 0.000 0.000 2.688
Hg 0.000 2.554 2.688
Hg 2.554 0.000 2.688
B 2.554 2.554 0.000
```

---

#B
First-principles (PBEsol) data for a relaxed ScCdHg2B crystal, as listed in the Alexandria database. Values from VASP.

Results
Its density of states at the Fermi level is 3.06 states/eV/cell. The calculated volume comes out at 19.07 Å³/atom. The magnetization is 0.0 μB per cell. The calculated density is 9.91 g/cm3.

```
&SYSTEM
  ibrav = 0, nat = 5, ntyp = 4
/
ATOMIC_SPECIES
Sc 44.96 Sc.upf
Cd 112.41 Cd.upf
Hg 200.59 Hg.upf
B 10.81 B.upf
CELL_PARAMETERS angstrom
4.632 0.000 0.000
0.000 4.632 0.000
0.000 0.000 4.445
ATOMIC_POSITIONS angstrom
Sc 0.000 0.000 0.000
Cd 2.316 2.316 0.000
Hg 0.000 2.316 2.222
Hg 2.316 0.000 2.222
B 2.316 2.316 2.222
```

---

Energy ordering: #B at the bottom, the next structure 993 meV per atom above.

---

#A
First-principles (PBEsol) data for a relaxed CdB2O4 crystal, as listed in the Alexandria database. Values from VASP.

Results
Its density of states at the Fermi level is 0.00 states/eV/cell. The calculated volume comes out at 10.39 Å³/atom. The magnetization is 0.0 μB per cell. The calculated density is 4.52 g/cm3.

```
&SYSTEM
  ibrav = 0, nat = 56, ntyp = 3
/
ATOMIC_SPECIES
Cd 112.41 Cd.upf
B 10.81 B.upf
O 16.00 O.upf
CELL_PARAMETERS angstrom
8.154 0.000 0.000
0.000 14.070 0.000
0.000 0.000 5.073
ATOMIC_POSITIONS angstrom
Cd 0.938 2.106 0.084
Cd 0.938 4.929 2.621
Cd 3.139 2.106 2.621
Cd 3.139 4.929 0.084
Cd 5.015 9.141 4.989
Cd 5.015 11.964 2.452
Cd 7.216 9.141 2.452
Cd 7.216 11.964 4.989
B 0.273 8.970 4.914
B 0.273 12.134 2.378
B 1.978 7.735 1.172
B 1.978 13.369 3.708
B 2.099 7.735 3.708
B 2.099 13.369 1.172
B 3.804 8.970 2.378
B 3.804 12.134 4.914
B 4.350 1.935 0.158
B 4.350 5.099 2.695
B 6.055 0.700 3.901
B 6.055 6.334 1.365
B 6.176 0.700 1.365
B 6.176 6.334 3.901
B 7.881 1.935 2.695
B 7.881 5.099 0.158
O 0.699 8.499 1.054
O 0.699 12.605 3.590
O 0.886 2.670 2.794
O 0.886 4.365 0.258
O 0.977 8.697 3.775
O 0.977 12.408 1.238
O 1.945 0.081 4.973
O 1.945 6.954 2.436
O 2.132 0.081 2.436
O 2.132 6.954 4.973
O 3.100 8.697 1.238
O 3.100 12.408 3.775
O 3.191 2.670 0.258
O 3.191 4.365 2.794
O 3.378 8.499 3.590
O 3.378 12.605 1.054
O 4.776 1.464 4.019
O 4.776 5.570 1.483
O 4.963 9.705 2.279
O 4.963 11.400 4.815
O 5.053 1.662 1.298
O 5.053 5.373 3.835
O 6.021 7.116 0.100
O 6.021 13.989 2.637
O 6.209 7.116 2.637
O 6.209 13.989 0.100
O 7.177 1.662 3.835
O 7.177 5.373 1.298
O 7.268 9.705 4.815
O 7.268 11.400 2.279
O 7.455 1.464 1.483
O 7.455 5.570 4.019
```

---

#B
First-principles (PBEsol) data for a relaxed CdB2O4 crystal, as listed in the Alexandria database. Values from VASP.

Results
Its density of states at the Fermi level is 0.00 states/eV/cell. The calculated volume comes out at 8.76 Å³/atom. The magnetization is 0.0 μB per cell. The calculated density is 5.36 g/cm3.

```
&SYSTEM
  ibrav = 0, nat = 56, ntyp = 3
/
ATOMIC_SPECIES
Cd 112.41 Cd.upf
B 10.81 B.upf
O 16.00 O.upf
CELL_PARAMETERS angstrom
8.885 0.000 0.000
-4.443 7.695 0.000
0.000 0.000 7.177
ATOMIC_POSITIONS angstrom
Cd 0.000 0.000 0.000
Cd 0.000 0.000 3.588
Cd -1.924 4.002 0.170
Cd -0.015 7.360 0.170
Cd 1.939 4.028 0.170
Cd 2.504 3.667 3.758
Cd 4.458 0.335 3.758
Cd 6.366 3.693 3.758
B -0.109 2.531 5.165
B -0.095 2.518 2.392
B -2.215 6.518 2.392
B -2.196 6.523 5.165
B 2.133 1.341 5.980
B 2.138 1.360 1.577
B 0.000 5.130 2.230
B 0.000 5.130 5.018
B 4.443 2.565 1.430
B 4.443 2.565 5.819
B 2.305 6.335 5.165
B 2.309 6.354 2.392
B 6.639 1.172 1.577
B 6.657 1.177 5.980
B 4.537 5.177 5.980
B 4.551 5.163 1.577
O -0.792 1.426 1.694
O -1.271 2.295 6.065
O -0.651 2.544 3.782
O -2.812 7.668 1.694
O 0.839 1.399 5.282
O -1.394 5.332 5.530
O -0.348 3.789 1.674
O -1.914 6.987 3.782
O -0.987 6.102 1.674
O -1.820 7.648 6.065
O 1.352 2.248 2.477
O 0.522 3.822 5.530
O 1.878 1.836 0.194
O 0.000 5.130 3.617
O 3.107 2.196 5.263
O 3.570 1.459 1.942
O 0.872 6.236 5.530
O 1.336 5.499 1.674
O 4.443 2.565 0.029
O 2.565 5.859 3.782
O 3.921 3.873 1.942
O 3.091 5.447 6.065
O 6.262 0.046 2.477
O 5.430 1.593 5.263
O 6.356 0.708 0.194
O 4.791 3.906 5.263
O 5.837 2.363 1.942
O 3.604 6.296 1.694
O 7.254 0.027 5.282
O 5.094 5.151 0.194
O 5.714 5.400 2.477
O 5.235 6.269 5.282
```

---

Energy ordering: #B at the bottom, the next structure 16 meV per atom above.

---

#A
First-principles (PBEsol) data for a relaxed CeB3O6 crystal, as listed in the Alexandria database. Values from VASP.

Results
Its density of states at the Fermi level is 31.28 states/eV/cell. The calculated volume comes out at 8.91 Å³/atom. The magnetization is 4.0 μB per cell. The calculated density is 5.01 g/cm3.

```
&SYSTEM
  ibrav = 0, nat = 40, ntyp = 3
/
ATOMIC_SPECIES
Ce 140.12 Ce.upf
B 10.81 B.upf
O 16.00 O.upf
CELL_PARAMETERS angstrom
4.216 0.000 0.000
0.000 11.717 0.000
-0.173 0.000 7.212
ATOMIC_POSITIONS angstrom
Ce 0.848 1.406 2.773
Ce 0.761 4.453 6.379
Ce 3.281 7.264 0.833
Ce 3.194 10.312 4.440
B 0.648 1.110 6.312
B 0.735 4.749 2.706
B 1.247 7.269 3.043
B 1.160 10.307 6.649
B 1.242 7.823 5.665
B 1.329 9.753 2.058
B 2.713 1.965 5.154
B 2.800 3.894 1.548
B 2.882 1.411 0.563
B 2.795 4.448 4.170
B 3.307 6.969 4.506
B 3.394 10.607 0.900
O 0.563 7.341 4.382
O 0.650 10.235 0.775
O 0.806 6.121 2.256
O 0.720 11.455 5.862
O 0.876 8.368 2.168
O 0.789 9.208 5.774
O 0.913 6.931 6.762
O 1.000 10.645 3.155
O 1.249 2.008 5.326
O 1.335 3.850 1.720
O 1.444 1.383 0.376
O 1.357 4.476 3.982
O 2.685 7.241 3.230
O 2.598 10.335 6.836
O 2.707 7.867 5.492
O 2.793 9.709 1.886
O 3.042 1.072 4.057
O 3.129 4.786 0.451
O 3.253 2.509 1.438
O 3.166 3.350 5.044
O 3.323 0.263 1.350
O 3.236 5.596 4.956
O 3.393 1.482 6.437
O 3.479 4.377 2.831
```

---

#B
First-principles (PBEsol) data for a relaxed CeB3O6 crystal, as listed in the Alexandria database. Values from VASP.

Results
Its density of states at the Fermi level is 16.32 states/eV/cell. The calculated volume comes out at 10.22 Å³/atom. The magnetization is 2.0 μB per cell. The calculated density is 4.36 g/cm3.

```
&SYSTEM
  ibrav = 0, nat = 20, ntyp = 3
/
ATOMIC_SPECIES
Ce 140.12 Ce.upf
B 10.81 B.upf
O 16.00 O.upf
CELL_PARAMETERS angstrom
4.904 -4.052 0.000
4.904 4.052 0.000
-3.805 0.000 5.145
ATOMIC_POSITIONS angstrom
Ce 2.050 2.449 3.859
Ce 3.953 -2.449 1.286
B -0.793 0.544 4.720
B 3.953 2.272 1.286
B 1.109 -0.544 2.148
B 4.894 0.544 2.997
B 2.050 -2.272 3.859
B 6.796 -0.544 0.424
O 2.772 3.157 1.479
O 3.869 1.530 0.042
O 1.035 0.714 2.593
O 5.134 3.157 1.093
O 2.937 -0.714 0.021
O 4.037 1.530 2.530
O 1.966 -1.530 2.615
O 3.066 0.714 5.124
O 0.869 -3.157 4.052
O 4.968 -0.714 2.552
O 2.134 -1.530 5.102
O 3.231 -3.157 3.665
```

---

Energy ordering: #A at the bottom, the next structure 31 meV per atom above.

---

#A
First-principles (PBEsol) data for a relaxed BIrCl2 crystal, as listed in the Alexandria database. Values from VASP.

Results
Its density of states at the Fermi level is 2.87 states/eV/cell. The calculated volume comes out at 14.17 Å³/atom. The magnetization is 0.0 μB per cell. The calculated density is 8.03 g/cm3.

```
&SYSTEM
  ibrav = 0, nat = 4, ntyp = 3
/
ATOMIC_SPECIES
B 10.81 B.upf
Ir 192.22 Ir.upf
Cl 35.45 Cl.upf
CELL_PARAMETERS angstrom
1.484 0.857 7.431
-1.484 0.857 7.431
0.000 -1.713 7.431
ATOMIC_POSITIONS angstrom
B 0.000 0.000 0.000
Ir 0.000 0.000 11.147
Cl 0.000 0.000 8.865
Cl 0.000 0.000 13.429
```

---

#B
First-principles (PBEsol) data for a relaxed BIrCl2 crystal, as listed in the Alexandria database. Values from VASP.

Results
Its density of states at the Fermi level is 3.27 states/eV/cell. The calculated volume comes out at 16.39 Å³/atom. The magnetization is 0.9 μB per cell. The calculated density is 6.94 g/cm3.

```
&SYSTEM
  ibrav = 0, nat = 4, ntyp = 3
/
ATOMIC_SPECIES
B 10.81 B.upf
Ir 192.22 Ir.upf
Cl 35.45 Cl.upf
CELL_PARAMETERS angstrom
1.429 0.825 9.272
-1.429 0.825 9.272
0.000 -1.650 9.272
ATOMIC_POSITIONS angstrom
B 0.000 0.000 0.000
Ir 0.000 0.000 13.908
Cl 0.000 0.000 1.657
Cl 0.000 0.000 26.159
```

---

Energy ordering: #B at the bottom, the next structure 92 meV per atom above.